DFT (PBE) results for a geometry-optimized Fe2TcAsC structure.

Its density of states at the Fermi level is 5.4 states/eV per cell. The calculated density comes out at 6.41 g/cm³. As for the energy: -6.44 eV/atom. The formation energy is 1.7915 eV/atom.

The space group is P4/mmm (No. 123) and the conventional cell measures 4.4653, 4.4653 and 3.8538 Å, with angles of 90.00, 90.00 and 90.00 degrees. The distinct sites, in fractional coordinates, are Fe at (0.0000, 0.5000, 0.0000), Tc at (0.0000, 0.0000, 0.5000), As at (0.5000, 0.5000, 0.0000) and C at (0.5000, 0.5000, 0.5000).

---

DFT (PBE) results for a geometry-optimized CaLa2Ho structure.

Its density of states at the Fermi level is 5.8 states/eV per cell. The calculated density comes out at 5.35 g/cm³. As for the energy: -4.03 eV/atom. The energy above the most stable polymorph in this dataset comes out at 52 meV/atom. The formation energy is 0.0825 eV/atom.

The space group is P4/mmm (No. 123) and the conventional cell measures 4.1637, 4.1637 and 8.6495 Å, with angles of 90.00, 90.00 and 90.00 degrees. The distinct sites, in fractional coordinates, are Ca at (0.0000, 0.0000, 0.0000), La at (0.5000, 0.5000, 0.2722) and Ho at (0.0000, 0.0000, 0.5000).

---

DFT (PBE) results for a geometry-optimized TlRh2Br structure.

Its density of states at the Fermi level is 4.5 states/eV per cell. The calculated density comes out at 9.83 g/cm³. As for the energy: -4.45 eV/atom. The energy above the most stable polymorph in this dataset comes out at 0 meV/atom. For the formation energy without anion corrections, the calculation gives 0.24 eV per atom.

The space group is Pm (No. 6) and the conventional cell measures 3.1210, 3.5731 and 7.5821 Å, with angles of 90.00, 101.67 and 90.00 degrees. The distinct sites, in fractional coordinates, are Tl at (0.0000, 0.0000, 0.0000), Rh at (0.3927, 0.5000, 0.7819), Rh at (0.8043, 0.0000, 0.6023) and Br at (0.6872, 0.5000, 0.3662).

---

DFT (PBE) results for a geometry-optimized ZrZnPt2F structure.

Its density of states at the Fermi level is 3.9 states/eV per cell. The calculated density comes out at 6.76 g/cm³. As for the energy: -4.11 eV/atom. For the formation energy without anion corrections, the calculation gives 0.65 eV per atom.

The space group is P4/mmm (No. 123) and the conventional cell measures 4.9499, 4.9499 and 5.6720 Å, with angles of 90.00, 90.00 and 90.00 degrees. The distinct sites, in fractional coordinates, are Zr at (0.0000, 0.0000, 0.0000), Zn at (0.0000, 0.0000, 0.5000), Pt at (0.0000, 0.5000, 0.0000) and F at (0.5000, 0.5000, 0.5000).

---

DFT (PBE) results for a geometry-optimized Sr2Cd2InAg5 structure.

Its density of states at the Fermi level is 8.6 states/eV per cell. The calculated density comes out at 7.12 g/cm³. As for the energy: -2.36 eV/atom. The formation energy is -0.1422 eV/atom.

The space group is P4/mbm (No. 127) and the conventional cell measures 11.0251, 11.0251 and 4.0436 Å, with angles of 90.00, 90.00 and 90.00 degrees. The distinct sites, in fractional coordinates, are Sr at (0.1755, 0.3245, 0.0000), Cd at (0.1234, 0.6234, 0.0000), In at (0.0000, 0.0000, 0.0000), Ag at (0.0000, 0.5000, 0.5000) and Ag at (0.0549, 0.8074, 0.5000).

---

DFT (PBE) results for a geometry-optimized TaAl3 structure.

Its density of states at the Fermi level is 1.0 states/eV per cell. The calculated density comes out at 6.60 g/cm³. As for the energy: -5.96 eV/atom. The formation energy is -0.1876 eV/atom.

The space group is Pmm2 (No. 25) and the conventional cell measures 2.8223, 4.7341 and 4.9286 Å, with angles of 90.00, 90.00 and 90.00 degrees. The distinct sites, in fractional coordinates, are Ta at (0.0000, 0.0000, 0.0000), Al at (0.0000, 0.5000, 0.3223), Al at (0.5000, 0.0000, 0.4944) and Al at (0.5000, 0.5000, 0.8194).

---

DFT (PBE) results for a geometry-optimized Tb3Tm4Sc structure.

Its density of states at the Fermi level is 13.1 states/eV per cell. The calculated density comes out at 8.10 g/cm³. As for the energy: -4.63 eV/atom. The energy above the most stable polymorph in this dataset comes out at 123 meV/atom. The formation energy is 0.1335 eV/atom.

The space group is P-1 (No. 2) and the conventional cell measures 3.4394, 8.6275 and 8.6291 Å, with angles of 82.32, 78.99 and 78.84 degrees. The distinct sites, in fractional coordinates, are Tb at (0.0000, 0.0000, 0.0000), Tb at (0.2410, 0.2599, 0.2598), Tm at (0.3592, 0.3914, 0.8767), Tm at (0.3605, 0.8766, 0.3916) and Sc at (0.5000, 0.5000, 0.5000).

---

DFT (PBE) results for a geometry-optimized ZnCuTe2 structure.

Its density of states at the Fermi level is 6.3 states/eV per cell. The calculated density comes out at 5.62 g/cm³. As for the energy: -2.84 eV/atom. The energy above the most stable polymorph in this dataset comes out at 295 meV/atom. For the formation energy without anion corrections, the calculation gives 0.07 eV per atom.

The space group is R-3m (No. 166, hexagonal axes) and the conventional cell measures 4.0463, 4.0463 and 24.0286 Å, with angles of 90.00, 90.00 and 120.00 degrees. The distinct sites, in fractional coordinates, are Zn at (0.0000, 0.0000, 0.0000), Cu at (0.0000, 0.0000, 0.5000) and Te at (0.0000, 0.0000, 0.3986).

---

DFT (PBE) results for a geometry-optimized Tm5Al2Ag structure.

Its density of states at the Fermi level is 25.0 states/eV per cell. The calculated density comes out at 8.11 g/cm³. As for the energy: -4.35 eV/atom. The formation energy is -0.2591 eV/atom.

The space group is I4/mcm (No. 140) and the conventional cell measures 7.5266, 7.5266 and 14.5594 Å, with angles of 90.00, 90.00 and 90.00 degrees. The distinct sites, in fractional coordinates, are Tm at (0.0000, 0.0000, 0.0000), Tm at (0.1674, 0.3326, 0.1485), Al at (0.1230, 0.3770, 0.5000) and Ag at (0.0000, 0.0000, 0.2500).

---

DFT (PBE) results for a geometry-optimized Tb2SmYSc structure.

Its density of states at the Fermi level is 25.7 states/eV per cell. The calculated density comes out at 6.10 g/cm³. As for the energy: -5.02 eV/atom. The formation energy is 0.3358 eV/atom.

The space group is Cmcm (No. 63) and the conventional cell measures 8.1780, 11.3118 and 7.0853 Å, with angles of 90.00, 90.00 and 90.00 degrees. The distinct sites, in fractional coordinates, are Tb at (0.1981, 0.0000, 0.0000), Sm at (0.0000, 0.2239, 0.2500), Y at (0.0000, 0.2414, 0.7500) and Sc at (0.0000, 0.4860, 0.2500).

---

DFT (PBE) results for a geometry-optimized AlPCl2 structure.

Its density of states at the Fermi level is 2.2 states/eV per cell. The calculated density comes out at 1.91 g/cm³. As for the energy: -3.63 eV/atom. The energy above the most stable polymorph in this dataset comes out at 223 meV/atom. For the formation energy without anion corrections, the calculation gives -0.42 eV per atom.

The space group is Cm (No. 8) and the conventional cell measures 13.7068, 3.2702 and 5.1357 Å, with angles of 90.00, 103.46 and 90.00 degrees. The distinct sites, in fractional coordinates, are Al at (0.0000, 0.0000, 0.0000), P at (0.3828, 0.0000, 0.7692), Cl at (0.1302, 0.5000, 0.1026) and Cl at (0.4301, 0.0000, 0.3533).

---

DFT (PBE) results for a geometry-optimized TiCr3S structure.

Its density of states at the Fermi level is 4.5 states/eV per cell. The calculated density comes out at 5.46 g/cm³. As for the energy: -7.96 eV/atom. The energy above the most stable polymorph in this dataset comes out at 0 meV/atom. For the formation energy without anion corrections, the calculation gives 0.22 eV per atom.

The space group is Pm-3m (No. 221) and the conventional cell measures 4.1559, 4.1559 and 4.1559 Å, with angles of 90.00, 90.00 and 90.00 degrees. The distinct sites, in fractional coordinates, are Ti at (0.0000, 0.0000, 0.0000), Cr at (0.0000, 0.5000, 0.5000) and S at (0.5000, 0.5000, 0.5000).